{
  "formula": "NdTm6Se8",
  "functional": "PBE",
  "state": "relaxed",
  "cell": [[8.609, 0.000, 0.000], [4.304, 7.455, 0.000], [4.304, 2.485, 5.749]],
  "species": ["Tm", "Se", "Tm", "Tm", "Nd", "Se", "Se", "Se", "Tm", "Tm", "Se", "Tm", "Se", "Se", "Se"],
  "frac_coords": [[0.076, 0.703, 0.764], [0.898, 0.625, 0.278], [0.703, 0.457, 0.764], [0.297, 0.543, 0.236], [0.000, 0.000, 0.000], [0.625, 0.199, 0.278], [0.326, 0.326, 0.022], [0.102, 0.375, 0.722], [0.543, 0.924, 0.236], [0.457, 0.076, 0.764], [0.674, 0.674, 0.978], [0.924, 0.297, 0.236], [0.375, 0.801, 0.722], [0.199, 0.898, 0.278], [0.801, 0.102, 0.722]],
  "formation_energy_uncorrected_mev_per_atom": -1579,
  "m_tot_mub_per_fu": 0.000,
  "relative_energy_mev_per_atom": 189
}

{
  "formula": "Nd2TmSe",
  "functional": "PBE",
  "state": "relaxed",
  "cell": [[-0.415, -1.356, 3.402], [3.582, 0.562, 0.661], [-1.794, 7.958, 2.954]],
  "species": ["Nd", "Nd", "Tm", "Se"],
  "frac_coords": [[0.000, 0.000, 0.791], [0.000, 0.000, 0.209], [0.500, 0.500, 0.500], [0.500, 0.500, 0.000]],
  "formation_energy_uncorrected_mev_per_atom": -681,
  "m_tot_mub_per_fu": 0.000,
  "relative_energy_mev_per_atom": 71
}

{
  "formula": "Nd2Tm2Se5",
  "functional": "PBE",
  "state": "relaxed",
  "cell": [[-0.260, -2.666, 7.207], [-8.292, 1.152, 0.127], [3.813, -7.035, -2.464]],
  "species": ["Nd", "Se", "Nd", "Nd", "Se", "Se", "Se", "Tm", "Tm", "Nd", "Se", "Se", "Se", "Tm", "Se", "Se", "Tm", "Se"],
  "frac_coords": [[0.500, 0.302, 0.698], [0.500, 0.500, 0.500], [0.000, 0.198, 0.802], [0.500, 0.698, 0.302], [0.000, 0.000, 0.000], [0.154, 0.208, 0.475], [0.346, 0.975, 0.708], [0.656, 0.849, 0.849], [0.344, 0.151, 0.151], [0.000, 0.802, 0.198], [0.654, 0.025, 0.292], [0.154, 0.475, 0.208], [0.846, 0.525, 0.792], [0.844, 0.349, 0.349], [0.346, 0.708, 0.975], [0.654, 0.292, 0.025], [0.156, 0.651, 0.651], [0.846, 0.792, 0.525]],
  "formation_energy_uncorrected_mev_per_atom": -1722,
  "m_tot_mub_per_fu": 0.000
}

{
  "formula": "Nd4TmSe5",
  "functional": "PBE",
  "state": "relaxed",
  "cell": [[4.181, 0.000, 0.000], [0.000, 4.181, 0.000], [-2.090, -2.090, 14.909]],
  "species": ["Se", "Se", "Nd", "Se", "Nd", "Nd", "Se", "Nd", "Tm", "Se"],
  "frac_coords": [[0.906, 0.906, 0.812], [0.094, 0.094, 0.188], [0.398, 0.398, 0.795], [0.500, 0.500, 0.000], [0.602, 0.602, 0.205], [0.806, 0.806, 0.612], [0.297, 0.297, 0.593], [0.194, 0.194, 0.388], [0.000, 0.000, 0.000], [0.703, 0.703, 0.407]],
  "formation_energy_uncorrected_mev_per_atom": -1793,
  "m_tot_mub_per_fu": 0.000
}

{
  "formula": "NdTmSe2",
  "functional": "PBE",
  "state": "relaxed",
  "cell": [[-1.391, 1.137, -3.642], [-3.999, 0.137, -0.694], [-1.938, 7.044, 0.675]],
  "species": ["Tm", "Se", "Se", "Nd"],
  "frac_coords": [[0.000, 0.000, 0.000], [0.257, 0.257, 0.229], [0.743, 0.743, 0.771], [0.500, 0.500, 0.500]],
  "formation_energy_uncorrected_mev_per_atom": -1761,
  "m_tot_mub_per_fu": 0.000,
  "relative_energy_mev_per_atom": 0
}

{
  "formula": "NdTm2Se4",
  "functional": "PBE",
  "state": "relaxed",
  "cell": [[-3.176, 0.886, -2.263], [-2.366, -3.693, 5.410], [-1.840, 11.632, 7.136]],
  "species": ["Tm", "Se", "Tm", "Tm", "Se", "Se", "Tm", "Nd", "Se", "Se", "Se", "Nd", "Se", "Se"],
  "frac_coords": [[0.131, 0.261, 0.068], [0.227, 0.454, 0.882], [0.869, 0.739, 0.932], [0.869, 0.739, 0.568], [0.042, 0.083, 0.250], [0.773, 0.546, 0.118], [0.131, 0.261, 0.432], [0.376, 0.752, 0.250], [0.773, 0.546, 0.382], [0.500, 0.000, 0.500], [0.958, 0.917, 0.750], [0.624, 0.248, 0.750], [0.227, 0.454, 0.618], [0.500, 0.000, 0.000]],
  "formation_energy_uncorrected_mev_per_atom": -1845,
  "m_tot_mub_per_fu": 0.000,
  "relative_energy_mev_per_atom": 24
}

{
  "formula": "NdTm4Se5",
  "functional": "PBE",
  "state": "relaxed",
  "cell": [[-3.358, 1.851, -1.279], [-3.111, -3.077, 3.713], [4.528, 7.854, 5.868]],
  "species": ["Se", "Tm", "Nd", "Se", "Tm", "Se", "Se", "Se", "Tm", "Tm"],
  "frac_coords": [[0.802, 0.302, 0.604], [0.796, 0.796, 0.593], [0.000, 0.000, 0.000], [0.607, 0.107, 0.215], [0.598, 0.598, 0.197], [0.393, 0.893, 0.785], [0.198, 0.698, 0.396], [0.000, 0.500, 0.000], [0.402, 0.402, 0.803], [0.204, 0.204, 0.407]],
  "formation_energy_uncorrected_mev_per_atom": -1683,
  "m_tot_mub_per_fu": 0.000
}

{
  "formula": "NdTm6Se8",
  "functional": "PBE",
  "state": "relaxed",
  "cell": [[-2.290, 4.317, 6.375], [-7.801, 0.715, 1.774], [-2.999, -3.683, 6.477]],
  "species": ["Se", "Se", "Tm", "Tm", "Se", "Se", "Se", "Se", "Tm", "Se", "Tm", "Se", "Tm", "Nd", "Tm"],
  "frac_coords": [[0.750, 0.750, 0.750], [0.262, 0.262, 0.738], [0.000, 0.500, 0.000], [0.000, 0.500, 0.500], [0.262, 0.738, 0.262], [0.262, 0.738, 0.738], [0.250, 0.250, 0.250], [0.738, 0.262, 0.738], [0.500, 0.000, 0.000], [0.738, 0.738, 0.262], [0.500, 0.500, 0.000], [0.738, 0.262, 0.262], [0.000, 0.000, 0.500], [0.000, 0.000, 0.000], [0.500, 0.000, 0.500]],
  "formation_energy_uncorrected_mev_per_atom": -1768,
  "m_tot_mub_per_fu": 0.000,
  "relative_energy_mev_per_atom": 0
}

- Which formula does entry 7 have?
  NdTm4Se5